Computed, not measured: crystalline KReAs2Se at its relaxed geometry at the PBE-GGA level of DFT.

abc: 4.7827 4.7827 5.6198
angles: 90.00 90.00 90.00
With the nearest neighbours (Å) after each atom.
Positions (direct):
K 0.0000 0.0000 0.0000  4 Se 3.38, 8 As 3.69
Re 0.5000 0.5000 0.5000  4 As 2.39
As 0.0000 0.5000 0.5000  2 Re 2.39
As 0.5000 0.0000 0.5000  2 Re 2.39
Se 0.5000 0.5000 0.0000  2 Re 2.81

Summary:
polymorph energy (0 for the lowest one)	0.0	kJ/mol of atoms
formation energy without anion corrections	0.10	eV/atom
DOS at the Fermi energy	5.38	states/eV per cell
volume	128.6	Å³/cell